No. 1
A relaxed structure of Tb2Pr6Cd. Source: Alexandria, functional PBE.

abc: 6.384 6.796 14.368
angles: 97.10 102.21 90.29
Element x y z (fractional)
Tb  0.034  0.021  0.221
Tb  0.247  0.593  0.671
Tb  0.753  0.407  0.329
Tb  0.966  0.979  0.779
Pr  0.091  0.747  0.996
Pr  0.130  0.795  0.441
Pr  0.309  0.302  0.434
Pr  0.374  0.354  0.883
Pr  0.421  0.098  0.664
Pr  0.460  0.155  0.111
Pr  0.540  0.845  0.889
Pr  0.579  0.902  0.336
Pr  0.626  0.646  0.117
Pr  0.691  0.698  0.566
Pr  0.870  0.205  0.559
Pr  0.909  0.253  0.004
Cd  0.175  0.523  0.221
Cd  0.825  0.477  0.779

DOS(E_F) (states/eV per cell): 24.33
Symmetry: P-1 (2)
Calculated total energy (eV/cell): -78.087


No. 2
A relaxed structure of Tb9Pr4Cd11. Source: Alexandria, functional PBE.

abc: 14.103 14.103 3.540
angles: 90.00 90.00 110.18
Element x y z (fractional)
Tb  0.000  0.000  0.000
Tb  0.114  0.656  0.000
Tb  0.293  0.487  0.000
Tb  0.344  0.886  0.000
Tb  0.487  0.293  0.000
Tb  0.513  0.707  0.000
Tb  0.656  0.114  0.000
Tb  0.707  0.513  0.000
Tb  0.886  0.344  0.000
Pr  0.084  0.250  0.000
Pr  0.250  0.084  0.000
Pr  0.750  0.916  0.000
Pr  0.916  0.750  0.000
Cd  0.090  0.456  0.500
Cd  0.131  0.869  0.500
Cd  0.299  0.299  0.500
Cd  0.315  0.685  0.500
Cd  0.456  0.090  0.500
Cd  0.500  0.500  0.500
Cd  0.544  0.910  0.500
Cd  0.685  0.315  0.500
Cd  0.701  0.701  0.500
Cd  0.869  0.131  0.500
Cd  0.910  0.544  0.500

DOS(E_F) (states/eV per cell): 28.79
Symmetry: Cmmm (65)
Calculated total energy (eV/cell): -76.628


No. 3
A relaxed structure of TbPrCd5. Source: Alexandria, functional PBE.

abc: 4.666 4.666 8.848
angles: 90.00 90.00 90.00
Element x y z (fractional)
Tb  0.000  0.000  0.000
Pr  0.500  0.500  0.500
Cd  0.000  0.500  0.244
Cd  0.000  0.500  0.756
Cd  0.500  0.000  0.244
Cd  0.500  0.000  0.756
Cd  0.500  0.500  0.000

DOS(E_F) (states/eV per cell): 3.67
Symmetry: P4/mmm (123)
Calculated total energy (eV/cell): -14.787


No. 4
A relaxed structure of Tb3PrCd6. Source: Alexandria, functional PBE.

abc: 9.281 5.224 11.225
angles: 90.00 106.43 90.00
Element x y z (fractional)
Tb  0.026  0.250  0.392
Tb  0.148  0.750  0.202
Tb  0.263  0.250  0.001
Tb  0.737  0.750  0.999
Tb  0.852  0.250  0.798
Tb  0.974  0.750  0.608
Pr  0.441  0.250  0.612
Pr  0.559  0.750  0.388
Cd  0.048  0.750  0.904
Cd  0.151  0.250  0.710
Cd  0.250  0.750  0.495
Cd  0.339  0.250  0.302
Cd  0.355  0.750  0.803
Cd  0.446  0.750  0.093
Cd  0.554  0.250  0.907
Cd  0.645  0.250  0.197
Cd  0.661  0.750  0.698
Cd  0.750  0.250  0.505
Cd  0.849  0.750  0.290
Cd  0.952  0.250  0.096

DOS(E_F) (states/eV per cell): 16.87
Symmetry: P2_1/m (11)
Calculated total energy (eV/cell): -54.126


No. 5
A relaxed structure of TbPrCd17. Source: Alexandria, functional PBE.

abc: 7.673 7.673 7.673
angles: 82.13 82.13 82.13
Element x y z (fractional)
Tb  0.000  0.000  0.000
Pr  0.342  0.342  0.342
Cd  0.021  0.021  0.546
Cd  0.021  0.546  0.021
Cd  0.196  0.654  0.654
Cd  0.299  0.299  0.875
Cd  0.299  0.875  0.299
Cd  0.370  0.676  0.974
Cd  0.370  0.974  0.676
Cd  0.546  0.021  0.021
Cd  0.581  0.581  0.581
Cd  0.654  0.196  0.654
Cd  0.654  0.654  0.196
Cd  0.676  0.370  0.974
Cd  0.676  0.974  0.370
Cd  0.778  0.778  0.778
Cd  0.875  0.299  0.299
Cd  0.974  0.370  0.676
Cd  0.974  0.676  0.370

DOS(E_F) (states/eV per cell): 4.79
Symmetry: R3m (160)
Calculated total energy (eV/cell): -27.609


No. 6
A relaxed structure of TbPr3Cd. Source: Alexandria, functional PBE.

abc: 3.787 6.873 13.088
angles: 86.95 90.00 74.02
Element x y z (fractional)
Tb  0.226  0.049  0.250
Tb  0.774  0.951  0.750
Pr  0.041  0.417  0.690
Pr  0.145  0.209  0.945
Pr  0.365  0.769  0.528
Pr  0.635  0.231  0.472
Pr  0.855  0.791  0.055
Pr  0.959  0.583  0.310
Cd  0.438  0.624  0.870
Cd  0.562  0.376  0.130

DOS(E_F) (states/eV per cell): 12.94
Symmetry: P-1 (2)
ΔE to the lowest computed polymorph (eV per atom): 0.0000
Calculated total energy (eV/cell): -40.854


No. 7
A relaxed structure of Tb12Pr7Cd. Source: Alexandria, functional PBE.

abc: 8.806 8.806 8.806
angles: 89.26 89.26 89.26
Element x y z (fractional)
Tb  0.006  0.891  0.331
Tb  0.109  0.669  0.994
Tb  0.123  0.462  0.340
Tb  0.331  0.006  0.891
Tb  0.340  0.123  0.462
Tb  0.462  0.340  0.123
Tb  0.538  0.660  0.877
Tb  0.660  0.877  0.538
Tb  0.669  0.994  0.109
Tb  0.877  0.538  0.660
Tb  0.891  0.331  0.006
Tb  0.994  0.109  0.669
Pr  0.212  0.770  0.620
Pr  0.230  0.380  0.788
Pr  0.380  0.788  0.230
Pr  0.500  0.500  0.500
Pr  0.620  0.212  0.770
Pr  0.770  0.620  0.212
Pr  0.788  0.230  0.380
Cd  0.000  0.000  0.000

DOS(E_F) (states/eV per cell): 33.81
Symmetry: R-3 (148)
Calculated total energy (eV/cell): -86.365


No. 8
A relaxed structure of TbPr6Cd2. Source: Alexandria, functional PBE.

abc: 6.822 6.822 12.347
angles: 108.06 108.06 32.85
Element x y z (fractional)
Tb  0.000  0.000  0.000
Pr  0.021  0.021  0.336
Pr  0.310  0.310  0.410
Pr  0.316  0.316  0.123
Pr  0.684  0.684  0.877
Pr  0.690  0.690  0.590
Pr  0.979  0.979  0.664
Cd  0.358  0.358  0.803
Cd  0.642  0.642  0.197

DOS(E_F) (states/eV per cell): 9.47
Symmetry: C2/m (12)
ΔE to the lowest computed polymorph (eV per atom): 0.0000
Calculated total energy (eV/cell): -36.332


No. 9
A relaxed structure of Tb7Pr12Cd. Source: Alexandria, functional PBE.

abc: 10.098 10.098 10.098
angles: 109.47 109.47 109.47
Element x y z (fractional)
Tb  0.000  0.000  0.500
Tb  0.000  0.500  0.000
Tb  0.000  0.500  0.500
Tb  0.500  0.000  0.000
Tb  0.500  0.000  0.500
Tb  0.500  0.500  0.000
Tb  0.500  0.500  0.500
Pr  0.002  0.245  0.757
Pr  0.243  0.488  0.245
Pr  0.243  0.998  0.755
Pr  0.245  0.243  0.488
Pr  0.245  0.757  0.002
Pr  0.488  0.245  0.243
Pr  0.512  0.755  0.757
Pr  0.755  0.243  0.998
Pr  0.755  0.757  0.512
Pr  0.757  0.002  0.245
Pr  0.757  0.512  0.755
Pr  0.998  0.755  0.243
Cd  0.000  0.000  0.000

DOS(E_F) (states/eV per cell): 29.23
Symmetry: Im-3 (204)
ΔE to the lowest computed polymorph (eV per atom): 0.5473
Calculated total energy (eV/cell): -77.599


No. 10
A relaxed structure of Tb3Pr2Cd6. Source: Alexandria, functional PBE.

abc: 14.503 14.503 14.503
angles: 159.96 159.96 28.49
Element x y z (fractional)
Tb  0.000  0.000  0.000
Tb  0.132  0.132  0.000
Tb  0.868  0.868  0.000
Pr  0.364  0.364  0.000
Pr  0.636  0.636  0.000
Cd  0.063  0.563  0.500
Cd  0.246  0.246  0.000
Cd  0.437  0.937  0.500
Cd  0.563  0.063  0.500
Cd  0.754  0.754  0.000
Cd  0.937  0.437  0.500

DOS(E_F) (states/eV per cell): 10.76
Symmetry: I4/mmm (139)
Calculated total energy (eV/cell): -28.009